Model one:
DFT (SCAN) results for a crystal of MgFe2Se relaxed with PBEsol.

The value obtained for the calculated density is 6.14 g/cm3.

The space group is R-3m (No. 166, hexagonal axes) and the conventional cell measures 2.9077, 2.9077 and 23.8247 Å, with angles of 90.00, 90.00 and 120.00 degrees. The asymmetric unit holds Mg at (0.0000, 0.0000, 0.0000), Fe at (0.0000, 0.0000, 0.2412) and Se at (0.0000, 0.0000, 0.5000).

***

Model two:
DFT (SCAN) results for a crystal of MgFe2Se relaxed with PBEsol.

The value obtained for the calculated density is 6.27 g/cm3.

The space group is P4/mmm (No. 123) and the conventional cell measures 3.192, 3.192 and 5.588 Å, with angles of 90.00, 90.00 and 90.00 degrees. The asymmetric unit holds Mg at (0.000, 0.000, 0.000), Fe at (0.500, 0.500, 0.286) and Se at (0.000, 0.000, 0.500).

***

Which of them is the most stable? Correct choice: model two.

***

Model one:
DFT (SCAN) results for a crystal of MgFe2Te relaxed with PBEsol.

The value obtained for the calculated density is 7.08 g/cm3.

The space group is I4/mmm (No. 139) and the conventional cell measures 3.911, 3.911 and 8.085 Å, with angles of 90.00, 90.00 and 90.00 degrees. The asymmetric unit holds Mg at (0.000, 0.000, 0.000), Fe at (0.000, 0.500, 0.250) and Te at (0.000, 0.000, 0.500).

***

Model two:
DFT (SCAN) results for a crystal of MgFe2Te relaxed with PBEsol.

The value obtained for the calculated density is 6.35 g/cm3.

The space group is P4mm (No. 99) and the conventional cell measures 3.153, 3.153 and 6.934 Å, with angles of 90.00, 90.00 and 90.00 degrees. The asymmetric unit holds Mg at (0.000, 0.000, 0.000), Fe at (0.000, 0.000, 0.604), Fe at (0.500, 0.500, 0.770) and Te at (0.500, 0.500, 0.387).

***

Which of them is the most stable? Correct choice: model two.

***

Model one:
DFT (SCAN) results for a crystal of MnFe2Mo relaxed with PBEsol.

The value obtained for the calculated density is 9.18 g/cm3.

The space group is Fm-3m (No. 225) and the conventional cell measures 5.749, 5.749 and 5.749 Å, with angles of 90.00, 90.00 and 90.00 degrees. The asymmetric unit holds Mn at (0.000, 0.000, 0.000), Fe at (0.250, 0.250, 0.250) and Mo at (0.000, 0.000, 0.500).

***

Model two:
DFT (SCAN) results for a crystal of MnFe2Mo relaxed with PBEsol.

The value obtained for the calculated density is 9.18 g/cm3.

The space group is P4/mmm (No. 123) and the conventional cell measures 3.968, 3.968 and 3.017 Å, with angles of 90.00, 90.00 and 90.00 degrees. The asymmetric unit holds Mn at (0.000, 0.000, 0.000), Fe at (0.000, 0.500, 0.500) and Mo at (0.500, 0.500, 0.000).

***

Model three:
DFT (SCAN) results for a crystal of MnFe2Mo relaxed with PBEsol.

The value obtained for the calculated density is 9.48 g/cm3.

The space group is Pmm2 (No. 25) and the conventional cell measures 2.547, 3.457 and 5.225 Å, with angles of 90.00, 90.00 and 90.00 degrees. The asymmetric unit holds Mn at (0.000, 0.000, 0.000), Fe at (0.000, 0.000, 0.563), Fe at (0.500, 0.500, 0.798) and Mo at (0.500, 0.500, 0.292).

***

Which of them is the most stable? Correct choice: model one.

***

Model one:
DFT (SCAN) results for a crystal of MnFe2Mo relaxed with PBEsol.

The value obtained for the calculated density is 9.17 g/cm3.

The space group is F-43m (No. 216) and the conventional cell measures 5.750, 5.750 and 5.750 Å, with angles of 90.00, 90.00 and 90.00 degrees. The asymmetric unit holds Mn at (0.000, 0.000, 0.000), Fe at (0.000, 0.000, 0.500), Fe at (0.250, 0.250, 0.250) and Mo at (0.250, 0.250, 0.750).

***

Model two:
DFT (SCAN) results for a crystal of MnFe2Mo relaxed with PBEsol.

The value obtained for the calculated density is 9.11 g/cm3.

The space group is P2/m (No. 10) and the conventional cell measures 2.521, 4.036 and 4.812 Å, with angles of 90.00, 102.22 and 90.00 degrees. The asymmetric unit holds Mn at (0.000, 0.000, 0.000), Fe at (0.247, 0.500, 0.762) and Mo at (0.500, 0.000, 0.500).

***

Which of them is the most stable? Correct choice: model one.

***

Model one:
DFT (SCAN) results for a crystal of Mn2FeNi relaxed with PBEsol.

The value obtained for the calculated density is 9.04 g/cm3.

The space group is P4/mmm (No. 123) and the conventional cell measures 2.424, 2.424 and 7.014 Å, with angles of 90.00, 90.00 and 90.00 degrees. The asymmetric unit holds Mn at (0.000, 0.000, 0.244), Fe at (0.500, 0.500, 0.000) and Ni at (0.500, 0.500, 0.500).

***

Model two:
DFT (SCAN) results for a crystal of Mn2FeNi relaxed with PBEsol.

The value obtained for the calculated density is 8.32 g/cm3.

The space group is Fm-3m (No. 225) and the conventional cell measures 5.638, 5.638 and 5.638 Å, with angles of 90.00, 90.00 and 90.00 degrees. The asymmetric unit holds Mn at (0.250, 0.250, 0.250), Fe at (0.000, 0.000, 0.000) and Ni at (0.000, 0.000, 0.500).

***

Which of them is the most stable? Correct choice: model two.

***

Model one:
DFT (SCAN) results for a crystal of Mn3FeO8 relaxed with PBEsol.

The value obtained for the calculated density is 4.38 g/cm3.

The space group is R-3m (No. 166, hexagonal axes) and the conventional cell measures 5.6602, 5.6602 and 14.2815 Å, with angles of 90.00, 90.00 and 120.00 degrees. The asymmetric unit holds Mn at (0.0000, 0.5000, 0.0000), Fe at (0.0000, 0.0000, 0.0000), O at (0.0000, 0.0000, 0.2666) and O at (0.0028, 0.5014, 0.7334).

***

Model two:
DFT (SCAN) results for a crystal of Mn3FeO8 relaxed with PBEsol.

The value obtained for the calculated density is 4.97 g/cm3.

The space group is P6_3mc (No. 186) and the conventional cell measures 5.6129, 5.6129 and 8.5465 Å, with angles of 90.00, 90.00 and 120.00 degrees. The asymmetric unit holds Mn at (0.1679, 0.3357, 0.0000), Fe at (0.3333, 0.6667, 0.7258), O at (0.0000, 0.0000, 0.3915), O at (0.0389, 0.5195, 0.8698), O at (0.1684, 0.3369, 0.6141) and O at (0.3333, 0.6667, 0.1129).

***

Which of them is the most stable? Correct choice: model two.

***

Model one:
DFT (SCAN) results for a crystal of MnFeOs relaxed with PBEsol.

The value obtained for the calculated density is 12.06 g/cm3.

The space group is F-43m (No. 216) and the conventional cell measures 5.493, 5.493 and 5.493 Å, with angles of 90.00, 90.00 and 90.00 degrees. The asymmetric unit holds Mn at (0.000, 0.000, 0.000), Fe at (0.000, 0.000, 0.500) and Os at (0.250, 0.250, 0.750).

***

Model two:
DFT (SCAN) results for a crystal of MnFeOs relaxed with PBEsol.

The value obtained for the calculated density is 14.00 g/cm3.

The space group is P3m1 (No. 156) and the conventional cell measures 2.5929, 2.5929 and 6.1331 Å, with angles of 90.00, 90.00 and 120.00 degrees. The asymmetric unit holds Mn at (0.0000, 0.0000, 0.0000), Fe at (0.6667, 0.3333, 0.3145) and Os at (0.3333, 0.6667, 0.6626).

***

Which of them is the most stable? Correct choice: model two.

***

Model one:
DFT (SCAN) results for a crystal of Sc2MnFe relaxed with PBEsol.

The value obtained for the calculated density is 5.42 g/cm3.

The space group is P4/mmm (No. 123) and the conventional cell measures 3.097, 3.097 and 6.409 Å, with angles of 90.00, 90.00 and 90.00 degrees. The asymmetric unit holds Sc at (0.000, 0.000, 0.231), Mn at (0.500, 0.500, 0.500) and Fe at (0.500, 0.500, 0.000).

***

Model two:
DFT (SCAN) results for a crystal of Sc2MnFe relaxed with PBEsol.

The value obtained for the calculated density is 5.42 g/cm3.

The space group is Fm-3m (No. 225) and the conventional cell measures 6.265, 6.265 and 6.265 Å, with angles of 90.00, 90.00 and 90.00 degrees. The asymmetric unit holds Sc at (0.250, 0.250, 0.250), Mn at (0.000, 0.000, 0.000) and Fe at (0.000, 0.000, 0.500).

***

Which of them is the most stable? Correct choice: model one.